Entry 1:
TbTiGa2Ni5 PBE-GGA optimized geometry; formation enthalpy at 0 K = -207 meV/atom; symmetry = P4/mmm (123); energy = -5.48 eV/atom
1.0
-0.758 -3.580 -1.013
3.206 -1.153 1.676
-4.505 -1.243 7.762
Tb Ti Ga Ni
1 1 2 5
Direct
0.000 0.000 0.500
0.000 0.000 0.000
0.500 0.500 0.131
0.500 0.500 0.869
0.000 0.500 0.280
0.500 0.000 0.280
0.000 0.500 0.720
0.500 0.000 0.720
0.500 0.500 0.500

***

Entry 2:
TbTmGaNi PBE-GGA optimized geometry; formation enthalpy at 0 K = -460 meV/atom; relative energy among the computed polymorphs = 0.044 eV/atom; symmetry = F-43m (216); energy = -4.94 eV/atom
1.0
4.910 0.000 0.000
2.455 4.252 0.000
2.455 1.417 4.009
Ni Tm Tb Ga
1 1 1 1
Direct
0.250 0.250 0.250
0.500 0.500 0.500
0.000 0.000 0.000
0.750 0.750 0.750

***

Number 1: Fermi-level density of states 0.8721 states/eV/atom. Number 2: Fermi-level density of states 0.8985 states/eV/atom.